No. 1
Computed, not measured: a geometry-optimized Li2NpTl3F9 structure at the PBE-GGA level of DFT.

Unit cell a=6.0512 b=6.0512 c=7.7949 alpha=90.00 beta=90.00 gamma=120.00
Space group P-3m1 (No. 164)
Symmetry-distinct sites (fractional):
Li (0.3333, 0.6667, 0.1465) x2
Np (0.0000, 0.0000, 0.5000) x1
Tl (0.0000, 0.0000, 0.0000) x1
Tl (0.3333, 0.6667, 0.7472) x2
F (0.0000, 0.5000, 0.0000) x3
F (0.1650, 0.3301, 0.3304) x6

Results
The formation energy (no corrections) comes out at -255.1 kJ/mol of atoms. The calculation puts the electronic total energy at -0.1969 Ha/atom.


No. 2
Computed, not measured: a geometry-optimized LaOsW2 structure at the PBE-GGA level of DFT.

Unit cell a=2.906 b=4.237 c=6.560 alpha=90.00 beta=99.36 gamma=90.00
Space group Pm (No. 6)
Symmetry-distinct sites (fractional):
La (0.000, 0.000, 0.000) x1
Os (0.772, 0.500, 0.306) x1
W (0.238, 0.500, 0.673) x1
W (0.484, 0.000, 0.483) x1

Results
The calculation puts the electronic total energy at -0.3670 Ha/atom. The energy above the most stable polymorph in this dataset is 135 meV/atom.


No. 3
Computed, not measured: a geometry-optimized CaTc structure at the PBE-GGA level of DFT.

Unit cell a=9.647 b=3.283 c=9.691 alpha=90.00 beta=108.33 gamma=90.00
Space group C2/m (No. 12)
Symmetry-distinct sites (fractional):
Ca (0.000, 0.000, 0.000) x2
Ca (0.174, 0.500, 0.759) x4
Tc (0.000, 0.000, 0.500) x2
Tc (0.162, 0.500, 0.417) x4

Results
The calculation puts the electronic total energy at -0.2134 Ha/atom. The energy above the most stable polymorph in this dataset is 165 meV/atom.


No. 4
Computed, not measured: a geometry-optimized LiLaCl structure at the PBE-GGA level of DFT.

Unit cell a=3.394 b=3.394 c=13.280 alpha=90.00 beta=90.00 gamma=90.00
Space group I4mm (No. 107)
Symmetry-distinct sites (fractional):
Li (0.000, 0.000, 0.000) x2
La (0.000, 0.000, 0.719) x2
Cl (0.000, 0.000, 0.374) x2

Results
The formation energy (no corrections) comes out at -80.5 kJ/mol of atoms. The calculation puts the electronic total energy at -0.1371 Ha/atom. The energy above the most stable polymorph in this dataset is 99 meV/atom.


No. 5
Computed, not measured: a geometry-optimized GeB3I structure at the PBE-GGA level of DFT.

Unit cell a=4.347 b=4.347 c=4.347 alpha=90.00 beta=90.00 gamma=90.00
Space group Pm-3m (No. 221)
Symmetry-distinct sites (fractional):
Ge (0.000, 0.000, 0.000) x1
B (0.000, 0.000, 0.500) x3
I (0.500, 0.500, 0.500) x1

Results
The formation energy (no corrections) comes out at 178.3 kJ/mol of atoms. The calculation puts the electronic total energy at -0.1247 Ha/atom. The energy above the most stable polymorph in this dataset is 0 meV/atom.


No. 6
Computed, not measured: a geometry-optimized Dy2Y2Tm structure at the PBE-GGA level of DFT.

Unit cell a=3.594 b=5.659 c=31.434 alpha=90.00 beta=90.00 gamma=90.00
Space group Imma (No. 74)
Symmetry-distinct sites (fractional):
Dy (0.000, 0.250, 0.021) x4
Dy (0.000, 0.250, 0.119) x4
Y (0.000, 0.250, 0.293) x4
Y (0.000, 0.250, 0.808) x4
Tm (0.000, 0.250, 0.578) x4

Results
The calculation puts the electronic total energy at -0.1901 Ha/atom. The energy above the most stable polymorph in this dataset is 49 meV/atom.


No. 7
Computed, not measured: a geometry-optimized RbMnN3 structure at the PBE-GGA level of DFT.

Unit cell a=3.842 b=3.842 c=3.842 alpha=90.00 beta=90.00 gamma=90.00
Space group Pm-3m (No. 221)
Symmetry-distinct sites (fractional):
Rb (0.000, 0.000, 0.000) x1
Mn (0.500, 0.500, 0.500) x1
N (0.000, 0.500, 0.500) x3

Results
The formation energy (no corrections) comes out at 96.3 kJ/mol of atoms. The calculation puts the electronic total energy at -0.2214 Ha/atom.


No. 8
Computed, not measured: a geometry-optimized Nd2Dy6Y3Sc structure at the PBE-GGA level of DFT.

Unit cell a=6.144 b=10.637 c=11.784 alpha=90.00 beta=99.96 gamma=90.00
Space group C2/m (No. 12)
Symmetry-distinct sites (fractional):
Nd (0.000, 0.167, 0.000) x4
Dy (0.247, 0.500, 0.750) x4
Dy (0.248, 0.335, 0.249) x8
Y (0.000, 0.000, 0.500) x2
Y (0.000, 0.334, 0.500) x4
Sc (0.000, 0.500, 0.000) x2

Results
The calculation puts the electronic total energy at -0.1915 Ha/atom.


No. 9
Computed, not measured: a geometry-optimized Ac2RhS structure at the PBE-GGA level of DFT.

Unit cell a=4.2258 b=4.2258 c=23.1190 alpha=90.00 beta=90.00 gamma=120.00
Space group R3m (No. 160, hexagonal axes)
Symmetry-distinct sites (fractional):
Ac (0.0000, 0.0000, 0.0000) x3
Ac (0.0000, 0.0000, 0.1809) x3
Rh (0.0000, 0.0000, 0.5893) x3
S (0.0000, 0.0000, 0.7583) x3

Results
The formation energy (no corrections) comes out at -117.8 kJ/mol of atoms. The calculation puts the electronic total energy at -0.2258 Ha/atom. The energy above the most stable polymorph in this dataset is 98 meV/atom.


No. 10
Computed, not measured: a geometry-optimized NaCa3Cu structure at the PBE-GGA level of DFT.

Unit cell a=5.694 b=5.694 c=5.694 alpha=90.00 beta=90.00 gamma=90.00
Space group Pm-3m (No. 221)
Symmetry-distinct sites (fractional):
Na (0.000, 0.000, 0.000) x1
Ca (0.000, 0.500, 0.500) x3
Cu (0.500, 0.500, 0.500) x1

Results
The calculation puts the electronic total energy at -0.0838 Ha/atom. The energy above the most stable polymorph in this dataset is 36 meV/atom.


No. 11
Computed, not measured: a geometry-optimized TlSb2Te2 structure at the PBE-GGA level of DFT.

Unit cell a=4.439 b=4.439 c=16.613 alpha=90.00 beta=90.00 gamma=90.00
Space group I4/mmm (No. 139)
Symmetry-distinct sites (fractional):
Tl (0.000, 0.000, 0.000) x2
Sb (0.000, 0.500, 0.250) x4
Te (0.000, 0.000, 0.407) x4

Results
The formation energy (no corrections) comes out at 9.6 kJ/mol of atoms. The calculation puts the electronic total energy at -0.1205 Ha/atom. The energy above the most stable polymorph in this dataset is 100 meV/atom.


No. 12
Computed, not measured: a geometry-optimized Ac2PmTm3 structure at the PBE-GGA level of DFT.

Unit cell a=16.150 b=7.550 c=7.438 alpha=90.00 beta=103.29 gamma=90.00
Space group C2/c (No. 15)
Symmetry-distinct sites (fractional):
Ac (0.184, 0.004, 0.092) x8
Pm (0.000, 0.210, 0.750) x4
Tm (0.000, 0.215, 0.250) x4
Tm (0.114, 0.499, 0.557) x8

Results
The calculation puts the electronic total energy at -0.1564 Ha/atom.


Repeat the sixth record exactly.
Computed, not measured: a geometry-optimized Dy2Y2Tm structure at the PBE-GGA level of DFT.

Unit cell a=3.594 b=5.659 c=31.434 alpha=90.00 beta=90.00 gamma=90.00
Space group Imma (No. 74)
Symmetry-distinct sites (fractional):
Dy (0.000, 0.250, 0.021) x4
Dy (0.000, 0.250, 0.119) x4
Y (0.000, 0.250, 0.293) x4
Y (0.000, 0.250, 0.808) x4
Tm (0.000, 0.250, 0.578) x4

Results
The calculation puts the electronic total energy at -0.1901 Ha/atom. The energy above the most stable polymorph in this dataset is 49 meV/atom.


Q: Look up the electronic total energy of the first one.
A: -0.1969 Ha/atom